(1)
Crystalline Na2B3C at its relaxed geometry. Source: the Alexandria database, functional PBE.

Values from the calculation:
SG ... Pm, No. 6

Lattice parameters (Å, degrees): 7.707 7.705 8.619 90.00 90.00 141.43
Atoms (fractional coordinates):
Na 0.801 0.201 0.503
Na 0.198 0.799 0.500
B 0.117 0.519 0.750
C 0.327 0.327 0.750
B 0.759 0.965 0.250
B 0.931 0.720 0.250
Na 0.198 0.799 0.000
Na 0.398 0.598 0.501
C 0.732 0.922 0.750
B 0.455 0.855 0.250
B 0.123 0.523 0.250
B 0.320 0.331 0.250
C 0.922 0.732 0.750
B 0.566 0.159 0.250
Na 0.398 0.598 0.999
Na 0.999 0.999 0.499
B 0.663 0.663 0.750
B 0.259 0.070 0.750
B 0.890 0.505 0.750
Na 0.999 0.999 0.001
B 0.518 0.116 0.750
Na 0.600 0.399 0.000
C 0.064 0.269 0.250
C 0.869 0.464 0.250
B 0.261 0.058 0.250
B 0.070 0.259 0.750
Na 0.600 0.399 0.500
B 0.504 0.889 0.750
Na 0.801 0.201 0.997
B 0.657 0.661 0.250


(2)
Crystalline Na4B5C3 at its relaxed geometry. Source: the Alexandria database, functional PBE.

Values from the calculation:
SG ... C2, No. 5

Lattice parameters (Å, degrees): 8.995 8.995 5.780 99.25 99.25 31.76
Atoms (fractional coordinates):
C 0.202 0.548 0.944
C 0.292 0.957 0.312
Na 0.500 0.503 0.750
C 0.702 0.048 0.181
C 0.293 0.958 0.813
Na 0.000 0.002 0.501
C 0.793 0.457 0.062
B 0.958 0.292 0.313
C 0.793 0.457 0.562
Na 0.001 0.001 0.001
Na 0.248 0.250 0.624
B 0.039 0.711 0.179
Na 0.249 0.249 0.124
B 0.458 0.792 0.062
B 0.064 0.686 0.702
B 0.539 0.211 0.946
Na 0.749 0.749 0.875
B 0.695 0.055 0.686
Na 0.747 0.750 0.375
B 0.958 0.292 0.812
B 0.564 0.186 0.423
B 0.195 0.555 0.439
Na 0.501 0.501 0.250
B 0.458 0.792 0.562


(3)
Crystalline Na2B3C at its relaxed geometry. Source: the Alexandria database, functional PBE.

Values from the calculation:
SG ... Cm, No. 8

Lattice parameters (Å, degrees): 9.101 9.101 13.496 112.63 112.63 17.94
Atoms (fractional coordinates):
B 0.374 0.374 0.999
Na 0.202 0.202 0.398
Na 0.199 0.199 0.901
Na 0.801 0.801 0.599
B 0.630 0.630 0.012
Na 0.800 0.800 0.102
Na 0.601 0.601 0.200
B 0.561 0.561 0.872
C 0.564 0.564 0.376
C 0.030 0.030 0.810
C 0.436 0.436 0.621
Na 0.998 0.998 0.500
B 0.834 0.834 0.416
C 0.233 0.233 0.216
B 0.764 0.764 0.278
B 0.770 0.770 0.791
B 0.227 0.227 0.705
B 0.441 0.441 0.133
C 0.971 0.971 0.192
B 0.623 0.623 0.495
Na 0.599 0.599 0.699
B 0.170 0.170 0.091
Na 0.399 0.399 0.301
Na 0.001 0.001 0.000
B 0.374 0.374 0.497
B 0.164 0.164 0.578
B 0.967 0.967 0.683
B 0.033 0.033 0.315
Na 0.401 0.401 0.801
B 0.834 0.834 0.919


(4)
Crystalline Na2B3C at its relaxed geometry. Source: the Alexandria database, functional PBE.

Values from the calculation:
SG ... P-6m2, No. 187

Lattice parameters (Å, degrees): 2.917 2.917 42.785 90.00 90.00 120.00
Atoms (fractional coordinates):
Na 0.000 0.000 0.603
Na 0.000 0.000 0.097
Na 0.000 0.000 0.701
Na 0.000 0.000 0.199
B 0.667 0.333 0.352
B 0.333 0.667 0.750
Na 0.000 0.000 0.504
B 0.667 0.333 0.046
B 0.333 0.667 0.454
B 0.667 0.333 0.454
Na 0.000 0.000 0.996
B 0.667 0.333 0.652
B 0.333 0.667 0.046
B 0.333 0.667 0.250
B 0.333 0.667 0.148
B 0.333 0.667 0.554
B 0.667 0.333 0.148
C 0.333 0.667 0.848
Na 0.000 0.000 0.799
B 0.667 0.333 0.848
C 0.667 0.333 0.946
Na 0.000 0.000 0.403
C 0.667 0.333 0.554
B 0.333 0.667 0.946
B 0.333 0.667 0.352
Na 0.000 0.000 0.897
B 0.667 0.333 0.250
C 0.333 0.667 0.652
C 0.667 0.333 0.750
Na 0.000 0.000 0.301


(5)
Crystalline Na5B8C2 at its relaxed geometry. Source: the Alexandria database, functional PBE.

Values from the calculation:
SG ... Cm, No. 8

Lattice parameters (Å, degrees): 9.154 9.154 13.674 112.16 112.16 17.73
Atoms (fractional coordinates):
Na 0.201 0.201 0.400
B 0.632 0.632 0.016
B 0.433 0.433 0.118
B 0.963 0.963 0.673
C 0.233 0.233 0.218
Na 0.399 0.399 0.797
B 0.974 0.974 0.199
B 0.371 0.371 0.492
Na 0.000 0.000 0.001
B 0.831 0.831 0.412
B 0.370 0.370 0.990
C 0.164 0.164 0.577
B 0.827 0.827 0.903
Na 0.200 0.200 0.898
Na 0.999 0.999 0.499
B 0.570 0.570 0.889
B 0.041 0.041 0.333
Na 0.800 0.800 0.597
C 0.571 0.571 0.393
B 0.028 0.028 0.805
B 0.765 0.765 0.281
Na 0.600 0.600 0.205
Na 0.599 0.599 0.697
Na 0.802 0.802 0.103
C 0.432 0.432 0.611
B 0.633 0.633 0.515
B 0.223 0.223 0.694
Na 0.400 0.400 0.302
B 0.175 0.175 0.102
B 0.765 0.765 0.777


(6)
Crystalline Na2B3C at its relaxed geometry. Source: the Alexandria database, functional PBE.

Values from the calculation:
SG ... Amm2, No. 38

Lattice parameters (Å, degrees): 12.924 12.924 8.570 90.00 90.00 167.22
Atoms (fractional coordinates):
B 0.140 0.860 0.750
B 0.670 0.330 0.250
C 0.865 0.135 0.750
Na 0.201 0.799 0.000
B 0.333 0.667 0.750
C 0.268 0.732 0.750
Na 0.600 0.400 0.504
B 0.533 0.467 0.250
B 0.864 0.136 0.250
B 0.526 0.474 0.750
Na 0.400 0.600 0.502
C 0.334 0.666 0.250
B 0.930 0.070 0.750
Na 0.400 0.600 0.998
Na 0.800 0.200 0.504
B 0.932 0.068 0.250
Na 0.800 0.200 0.996
Na 0.999 0.001 0.999
B 0.064 0.936 0.250
Na 0.201 0.799 0.500
B 0.736 0.264 0.750
B 0.465 0.535 0.250
B 0.131 0.869 0.250
Na 0.999 0.001 0.501
B 0.067 0.933 0.750
C 0.462 0.538 0.750
Na 0.600 0.400 0.996
C 0.671 0.329 0.750
B 0.274 0.726 0.250
B 0.734 0.266 0.250


(7)
Crystalline Na2B3C at its relaxed geometry. Source: the Alexandria database, functional PBE.

Values from the calculation:
SG ... P-6m2, No. 187

Lattice parameters (Å, degrees): 2.917 2.917 25.685 90.00 90.00 120.00
Atoms (fractional coordinates):
B 0.333 0.667 0.420
B 0.667 0.333 0.750
B 0.333 0.667 0.587
B 0.333 0.667 0.080
Na 0.000 0.000 0.832
C 0.333 0.667 0.750
B 0.667 0.333 0.080
C 0.667 0.333 0.913
B 0.333 0.667 0.250
Na 0.000 0.000 0.996
Na 0.000 0.000 0.165
B 0.667 0.333 0.420
C 0.667 0.333 0.587
B 0.667 0.333 0.250
Na 0.000 0.000 0.668
Na 0.000 0.000 0.335
B 0.333 0.667 0.913
Na 0.000 0.000 0.504


(8)
Crystalline Na5B8C2 at its relaxed geometry. Source: the Alexandria database, functional PBE.

Values from the calculation:
SG ... Cm, No. 8

Lattice parameters (Å, degrees): 9.152 9.152 13.643 112.30 112.30 17.79
Atoms (fractional coordinates):
B 0.766 0.766 0.279
Na 0.800 0.800 0.600
B 0.230 0.230 0.710
Na 0.801 0.801 0.101
Na 0.999 0.999 0.003
C 0.562 0.562 0.373
B 0.972 0.972 0.695
Na 0.998 0.998 0.498
C 0.968 0.968 0.185
B 0.841 0.841 0.934
C 0.632 0.632 0.017
Na 0.399 0.399 0.297
Na 0.400 0.400 0.804
B 0.573 0.573 0.899
C 0.373 0.373 0.997
B 0.034 0.034 0.821
B 0.830 0.830 0.408
B 0.162 0.162 0.075
B 0.437 0.437 0.122
Na 0.200 0.200 0.395
B 0.166 0.166 0.581
Na 0.600 0.600 0.702
B 0.622 0.622 0.492
Na 0.202 0.202 0.903
B 0.431 0.431 0.612
B 0.030 0.030 0.309
B 0.228 0.228 0.205
Na 0.600 0.600 0.198
B 0.773 0.773 0.798
B 0.369 0.369 0.487


(9)
Crystalline Na2B3C at its relaxed geometry. Source: the Alexandria database, functional PBE.

Values from the calculation:
SG ... Amm2, No. 38

Lattice parameters (Å, degrees): 13.118 13.118 8.636 90.00 90.00 167.68
Atoms (fractional coordinates):
B 0.870 0.130 0.250
Na 0.999 0.001 0.499
B 0.531 0.469 0.750
Na 0.200 0.800 0.501
C 0.932 0.068 0.250
C 0.866 0.134 0.750
B 0.279 0.721 0.250
Na 0.801 0.199 0.995
C 0.527 0.473 0.250
Na 0.400 0.600 0.498
B 0.072 0.928 0.750
B 0.735 0.265 0.250
B 0.058 0.942 0.250
B 0.467 0.533 0.750
B 0.670 0.330 0.250
B 0.269 0.731 0.750
B 0.464 0.536 0.250
B 0.138 0.862 0.750
C 0.669 0.331 0.750
B 0.126 0.874 0.250
C 0.338 0.662 0.250
Na 0.400 0.600 0.002
Na 0.600 0.400 0.500
Na 0.600 0.400 0.000
Na 0.801 0.199 0.505
B 0.335 0.665 0.750
Na 0.200 0.800 0.999
Na 0.999 0.001 0.001
B 0.925 0.075 0.750
B 0.729 0.271 0.750


(10)
Crystalline Na8B15C at its relaxed geometry. Source: the Alexandria database, functional PBE.

Values from the calculation:
SG ... Imm2, No. 44

Lattice parameters (Å, degrees): 17.521 17.521 17.521 170.29 162.66 19.91
Atoms (fractional coordinates):
B 0.150 0.813 0.337
Na 0.625 0.625 0.000
B 0.116 0.438 0.679
Na 0.500 0.500 0.999
B 0.899 0.562 0.337
Na 0.876 0.875 0.001
B 0.399 0.062 0.337
Na 0.001 0.000 0.001
B 0.476 0.813 0.663
Na 0.374 0.375 0.999
Na 0.750 0.750 0.000
C 0.275 0.938 0.337
B 0.782 0.438 0.344
B 0.649 0.313 0.337
B 0.850 0.187 0.663
B 0.226 0.562 0.664
B 0.024 0.687 0.337
B 0.976 0.313 0.664
B 0.351 0.688 0.663
B 0.574 0.938 0.636
B 0.725 0.062 0.663
Na 0.125 0.125 0.000
B 0.525 0.188 0.337
Na 0.250 0.250 0.000


(11)
Crystalline Na2B3C at its relaxed geometry. Source: the Alexandria database, functional PBE.

Values from the calculation:
SG ... P-1, No. 2

Lattice parameters (Å, degrees): 9.120 9.171 5.918 100.31 98.33 31.38
Atoms (fractional coordinates):
B 0.314 0.935 0.321
B 0.064 0.686 0.718
B 0.951 0.298 0.319
Na 0.249 0.251 0.126
Na 0.001 0.000 0.001
B 0.436 0.814 0.032
Na 0.750 0.750 0.375
B 0.719 0.032 0.670
C 0.212 0.537 0.939
C 0.803 0.448 0.573
Na 0.251 0.249 0.624
B 0.027 0.722 0.180
B 0.543 0.206 0.951
Na 0.000 0.004 0.499
B 0.957 0.294 0.799
B 0.473 0.778 0.570
B 0.549 0.202 0.431
Na 0.750 0.750 0.875
Na 0.499 0.500 0.749
Na 0.500 0.496 0.251
C 0.697 0.052 0.177
B 0.186 0.565 0.429
C 0.288 0.963 0.811
B 0.781 0.468 0.080


(12)
Crystalline Na2B3C at its relaxed geometry. Source: the Alexandria database, functional PBE.

Values from the calculation:
SG ... Amm2, No. 38

Lattice parameters (Å, degrees): 12.912 12.912 8.575 90.00 90.00 167.20
Atoms (fractional coordinates):
Na 0.599 0.401 0.999
B 0.534 0.466 0.750
B 0.933 0.067 0.250
B 0.130 0.870 0.750
Na 0.599 0.401 0.501
Na 0.199 0.801 0.504
B 0.464 0.536 0.250
Na 0.000 0.000 0.501
B 0.331 0.669 0.250
Na 0.800 0.200 0.505
Na 0.400 0.600 0.000
C 0.663 0.337 0.750
B 0.267 0.733 0.750
B 0.531 0.469 0.250
C 0.469 0.531 0.750
C 0.871 0.129 0.750
Na 0.400 0.600 0.500
B 0.865 0.135 0.250
B 0.726 0.274 0.750
Na 0.800 0.200 0.995
B 0.263 0.737 0.250
B 0.937 0.063 0.750
B 0.674 0.326 0.250
Na 0.000 0.000 0.999
B 0.069 0.931 0.250
C 0.734 0.266 0.250
Na 0.199 0.801 0.996
B 0.134 0.866 0.250
B 0.340 0.660 0.750
C 0.066 0.934 0.750


Ordered relative energy among the computed polymorphs results: 42 33 20 56 10 36 57 16 21 8 39 35; unit meV/atom.
Ordered ΔE_f results: 175.0 93.3 152.9 189.8 179.9 169.6 190.2 186.4 153.9 277.3 172.2 168.7; unit meV per atom.
Ordered spin magnetization results: 0.00 0.00 0.00 0.00 0.00 0.00 0.00 0.00 0.00 0.00 0.00 0.00; unit μB per formula unit.